Computed, not measured: TlWSe after structural relaxation at the PBE-GGA level of DFT.

Cell: 4.5776 4.5776 4.5776 Å, 60.00 60.00 60.00°
With the nearest neighbours (Å) after each atom.
Positions (direct):
Se  0.0000  0.0000  0.0000  4 W 2.80
W  0.7500  0.7500  0.7500  4 Se 2.80, 4 Tl 2.80
Tl  0.5000  0.5000  0.5000  4 W 2.80

Computed properties:
Formation energy without anion corrections: 1.0608 eV/atom
ΔE to the lowest computed polymorph: 0.987 eV/atom